Record 1
# TbPrGd

A relaxed TbPrGd crystal (GGA-PBE, Alexandria).

- Energy of formation from the pure elements: 18 meV per atom
- E above lowest polymorph: 0 meV/atom

```
TbPrGd
1.0
-0.217 -3.456 1.084
0.226 0.781 -3.536
8.817 -0.405 0.473
Pr Gd Tb
1 1 1
direct
0.000 0.000 0.002
0.333 0.667 0.663
0.667 0.333 0.336
```

=====

Record 2
# TbPrGd2

A relaxed TbPrGd2 crystal (GGA-PBE, Alexandria).

- Energy of formation from the pure elements: 19 meV per atom
- E above lowest polymorph: 0 meV/atom

```
TbPrGd2
1.0
5.110 0.000 0.000
0.000 5.097 0.000
0.000 0.000 5.097
Pr Gd Tb
1 2 1
direct
0.500 0.000 0.000
0.000 0.000 0.500
0.000 0.500 0.000
0.500 0.500 0.500
```

=====

Record 3
# TbPrGdTm

A relaxed TbPrGdTm crystal (GGA-PBE, Alexandria).

- Energy of formation from the pure elements: 108 meV per atom

```
TbPrGdTm
1.0
5.711 0.000 0.000
2.856 4.946 0.000
2.856 1.649 4.663
Gd Pr Tm Tb
1 1 1 1
direct
0.000 0.000 0.000
0.500 0.500 0.500
0.750 0.750 0.750
0.250 0.250 0.250
```

=====

Record 4
# TbPrGdZn

A relaxed TbPrGdZn crystal (GGA-PBE, Alexandria).

- Energy of formation from the pure elements: 38 meV per atom

```
TbPrGdZn
1.0
-4.709 2.185 -1.596
-3.914 -3.170 -2.033
-4.524 -0.905 2.866
Pr Zn Gd Tb
1 1 1 1
direct
0.250 0.250 0.250
0.500 0.500 0.500
0.750 0.750 0.750
0.000 0.000 0.000
```

=====

Record 5
# TbPrGdZr

A relaxed TbPrGdZr crystal (GGA-PBE, Alexandria).

- Energy of formation from the pure elements: 227 meV per atom

```
TbPrGdZr
1.0
-1.506 -1.196 -5.228
3.072 -3.505 -3.051
-1.962 -5.063 -1.245
Pr Gd Tb Zr
1 1 1 1
direct
0.750 0.750 0.750
0.000 0.000 0.000
0.500 0.500 0.500
0.250 0.250 0.250
```

=====

Record 6
# PrGdTc4

A relaxed PrGdTc4 crystal (GGA-PBE, Alexandria).

- Energy of formation from the pure elements: 18 meV per atom

```
PrGdTc4
1.0
-4.021 1.825 3.231
-0.878 -2.345 4.865
1.202 2.708 4.599
Pr Gd Tc
1 1 4
direct
0.250 0.250 0.250
0.000 0.000 0.000
0.625 0.625 0.125
0.625 0.125 0.625
0.625 0.625 0.625
0.125 0.625 0.625
```

=====

Record 7
# Pr2GdTc

A relaxed Pr2GdTc crystal (GGA-PBE, Alexandria).

- Energy of formation from the pure elements: 283 meV per atom

```
Pr2GdTc
1.0
4.941 0.000 0.000
2.470 4.279 0.000
2.470 1.426 5.127
Pr Gd Tc
2 1 1
direct
0.267 0.267 0.199
0.733 0.733 0.801
0.500 0.500 0.500
0.000 0.000 0.000
```

=====

Record 8
# Pr3GdTc

A relaxed Pr3GdTc crystal (GGA-PBE, Alexandria).

- Energy of formation from the pure elements: 211 meV per atom

```
Pr3GdTc
1.0
5.564 0.000 0.000
0.000 5.564 0.000
0.000 0.000 5.564
Pr Gd Tc
3 1 1
direct
0.000 0.500 0.000
0.000 0.000 0.500
0.500 0.000 0.000
0.500 0.500 0.500
0.000 0.000 0.000
```

=====

Record 9
# PrGdZnTc

A relaxed PrGdZnTc crystal (GGA-PBE, Alexandria).

- Energy of formation from the pure elements: -39 meV per atom

```
PrGdZnTc
1.0
5.049 0.000 0.000
2.525 4.373 0.000
2.525 1.458 4.123
Pr Zn Gd Tc
1 1 1 1
direct
0.250 0.250 0.250
0.000 0.000 0.000
0.750 0.750 0.750
0.500 0.500 0.500
```

=====

Record 10
# PrGdTe

A relaxed PrGdTe crystal (GGA-PBE, Alexandria).

- Energy relative to the elements, uncorrected: -797 meV per atom
- E above lowest polymorph: 0 meV/atom

```
PrGdTe
1.0
-0.335 -2.322 -3.213
3.745 0.871 -1.020
0.229 -3.908 5.262
Pr Gd Te
1 1 1
direct
0.273 0.273 0.546
0.969 0.969 0.937
0.608 0.608 0.217
```

=====

Record 11
# PrGdTe

A relaxed PrGdTe crystal (GGA-PBE, Alexandria).

- Energy relative to the elements, uncorrected: -541 meV per atom
- E above lowest polymorph: 257 meV/atom

```
PrGdTe
1.0
-0.554 1.764 -3.661
0.045 -4.728 -2.286
-4.529 2.062 1.679
Pr Gd Te
1 1 1
direct
0.620 0.667 0.333
0.125 0.000 0.000
0.255 0.333 0.667
```

=====

Record 12
# PrGdTh2

A relaxed PrGdTh2 crystal (GGA-PBE, Alexandria).

- Energy of formation from the pure elements: 193 meV per atom
- E above lowest polymorph: 118 meV/atom

```
PrGdTh2
1.0
-2.923 -2.475 -4.245
2.509 -3.968 -3.265
-1.583 -5.477 0.433
Pr Gd Th
1 1 2
direct
0.500 0.500 0.500
0.000 0.000 0.000
0.250 0.250 0.250
0.750 0.750 0.750
```